Entry 1:
The following is a PBE calculation of a geometry-optimized ZrZn3Ga structure, from Alexandria.

Properties
Total magnetic moment (μB per formula unit): 0.0
Energy (eV per atom): -2.6393
Calculated formation energy (eV/atom): 0.44
ΔE to the lowest computed polymorph (eV/atom): 0.0000
Volume (Å³ per atom): 19.58

a = 4.608 Å, b = 4.608 Å, c = 4.608 Å
α = 90.00°, β = 90.00°, γ = 90.00°
Space group Pm-3m (No. 221)
Asymmetric unit:
Zr 0.000 0.000 0.000 (multiplicity 1)
Zn 0.000 0.500 0.500 (multiplicity 3)
Ga 0.500 0.500 0.500 (multiplicity 1)

Entry 2:
The following is a PBE calculation of a geometry-optimized Zr2ZnGa2 structure, from Alexandria.

Properties
Total magnetic moment (μB per formula unit): 0.0
Energy (eV per atom): -5.2860
Calculated formation energy (eV/atom): -0.40
ΔE to the lowest computed polymorph (eV/atom): 0.1213
Volume (Å³ per atom): 18.23

a = 3.846 Å, b = 17.021 Å, c = 5.571 Å
α = 90.00°, β = 90.00°, γ = 90.00°
Space group Cmc2_1 (No. 36)
Asymmetric unit:
Zr 0.000 0.003 0.000 (multiplicity 4)
Zr 0.000 0.216 0.987 (multiplicity 4)
Zn 0.000 0.390 0.736 (multiplicity 4)
Ga 0.000 0.168 0.480 (multiplicity 4)
Ga 0.000 0.391 0.252 (multiplicity 4)

Entry 3:
The following is a PBE calculation of a geometry-optimized Zr6ZnGa5 structure, from Alexandria.

Properties
Total magnetic moment (μB per formula unit): 0.0
Energy (eV per atom): -6.1229
Calculated formation energy (eV/atom): -0.48
Volume (Å³ per atom): 18.89

a = 4.345 Å, b = 8.022 Å, c = 13.012 Å
α = 90.00°, β = 90.00°, γ = 90.00°
Space group Immm (No. 71)
Asymmetric unit:
Zr 0.000 0.248 0.000 (multiplicity 4)
Zr 0.000 0.251 0.333 (multiplicity 8)
Zn 0.000 0.000 0.500 (multiplicity 2)
Ga 0.000 0.000 0.168 (multiplicity 4)
Ga 0.000 0.500 0.163 (multiplicity 4)
Ga 0.000 0.500 0.500 (multiplicity 2)

Entry 4:
The following is a PBE calculation of a geometry-optimized Zr2ZnGa2 structure, from Alexandria.

Properties
Total magnetic moment (μB per formula unit): 0.0
Energy (eV per atom): -5.4073
Calculated formation energy (eV/atom): -0.52
ΔE to the lowest computed polymorph (eV/atom): 0.0000
Volume (Å³ per atom): 18.31

a = 10.280 Å, b = 4.040 Å, c = 9.872 Å
α = 90.00°, β = 116.72°, γ = 90.00°
Space group C2/m (No. 12)
Asymmetric unit:
Zr 0.007 0.000 0.181 (multiplicity 4)
Zr 0.187 0.000 0.603 (multiplicity 4)
Zn 0.212 0.500 0.835 (multiplicity 4)
Ga 0.035 0.500 0.391 (multiplicity 4)
Ga 0.139 0.500 0.064 (multiplicity 4)